1.
The following is a DFT calculation (GGA-PBE) of crystalline CoSiNi2 at its relaxed geometry.

Geometry as POSCAR:
```
CoSiNi2
1.0
4.182 0.023 0.000
1.056 4.046 0.000
-2.619 -2.035 2.547
Ni Co Si
2 1 1
direct
0.000 0.000 0.000
0.250 0.750 0.500
0.750 0.250 0.500
0.500 0.500 0.000
```

E_tot, eV/atom: -6.367
Spin magnetization, μB/f.u.: 1.03
ΔE_f (raw), eV per atom: -0.3445
Space-group type: No. 119

***

2.
The following is a DFT calculation (GGA-PBE) of crystalline PaMnGa5Co2 at its relaxed geometry.

Geometry as POSCAR:
```
PaMnGa5Co2
1.0
4.608 0.000 0.000
0.000 4.608 0.000
0.000 0.000 6.953
Co Ga Pa Mn
2 5 1 1
direct
0.500 0.500 0.829
0.500 0.500 0.171
0.500 0.500 0.500
0.500 0.000 0.802
0.000 0.500 0.802
0.000 0.500 0.198
0.500 0.000 0.198
0.000 0.000 0.500
0.000 0.000 0.000
```

E_tot, eV/atom: -5.346
Spin magnetization, μB/f.u.: 4.98
Space-group type: No. 123
Energy relative to the elements, eV/f.u.: -0.10

***

3.
The following is a DFT calculation (GGA-PBE) of crystalline MgTcOs2 at its relaxed geometry.

Geometry as POSCAR:
```
MgTcOs2
1.0
4.368 0.000 0.000
2.184 3.783 0.000
2.184 1.261 3.566
Tc Os Mg
1 2 1
direct
0.750 0.750 0.750
0.000 0.000 0.000
0.250 0.250 0.250
0.500 0.500 0.500
```

E_tot, eV/atom: -8.271
Spin magnetization, μB/f.u.: 0.00
Space-group type: No. 216
Energy relative to the elements, eV/f.u.: 1.34

***

4.
The following is a DFT calculation (GGA-PBE) of crystalline NaPt3Cl at its relaxed geometry.

Geometry as POSCAR:
```
NaPt3Cl
1.0
-2.791 -0.670 -3.825
-2.095 -3.707 2.178
-3.270 2.947 1.870
Pt Na Cl
3 1 1
direct
0.000 0.500 0.000
0.000 0.000 0.500
0.500 0.000 0.000
0.000 0.000 0.000
0.500 0.500 0.500
```

E_tot, eV/atom: -2.554
Spin magnetization, μB/f.u.: 1.64
ΔE_f (raw), eV per atom: 1.7039
Space-group type: No. 221
E above lowest polymorph, meV per atom: 1048